A relaxed structure of CoAg. Source: OQMD, functional PBE-GGA.

As for the crystal system: trigonal. The total DFT energy (no corrections) is -4.707 eV/atom. The formation energy comes out at 0.5 eV/f.u.

The structure belongs to space group R-3m (No. 166, hexagonal axes); the cell edges are 2.7378, 2.7378 and 26.7655 Å and the angles 90.00°, 90.00° and 120.00°. The asymmetric unit holds Co at (0.0000, 0.0000, 0.1332) and Ag at (0.0000, 0.0000, 0.3806).